# PmNd2Pd2

A relaxed structure of PmNd2Pd2 (GGA-PBE, Alexandria).

abc: 4.0190 8.0650 8.0650
angles: 90.00 90.00 90.00
Closest atoms and distances in Å follow each position.
Sites, in units of the cell vectors:
Pm (0.5000, 0.5000, 0.0000)  4 Pd 3.18
Pm (0.5000, 0.0000, 0.5000)  4 Pd 3.18
Nd (0.0000, 0.6679, 0.3322)  6 Pd 3.08-3.13
Nd (0.0000, 0.8322, 0.8322)  6 Pd 3.08-3.13
Nd (0.0000, 0.1678, 0.1678)  6 Pd 3.08-3.13
Nd (0.0000, 0.3322, 0.6679)  6 Pd 3.08-3.13
Pd (0.5000, 0.3731, 0.3731)  1 Pd 2.90, 6 Nd 3.08-3.13, 2 Pm 3.18
Pd (0.5000, 0.8731, 0.1269)  1 Pd 2.90, 6 Nd 3.08-3.13, 2 Pm 3.18
Pd (0.5000, 0.1269, 0.8731)  1 Pd 2.90, 6 Nd 3.08-3.13, 2 Pm 3.18
Pd (0.5000, 0.6269, 0.6269)  1 Pd 2.90, 6 Nd 3.08-3.13, 2 Pm 3.18

Values from the calculation:
The value obtained for the magnetization is 0.00 μB per cell. Its space-group type is P4/mbm. The calculation puts the energy above the most stable polymorph in this dataset at 0 meV per atom. The formation energy is -0.636 eV per atom.